Record 1
KSc2Al: single point on PBEsol structure, meta-GGA SCAN.

Results
spin magnetization: 3.25 μB/cell
space-group type: No. 8
density: 2.23 Mg/m³
formation energy from the elements: 0.3263 eV/atom

Unit cell a=10.271 b=3.126 c=7.286 alpha=90.00 beta=96.18 gamma=90.00
Positions (direct):
K (0.000, 0.000, 0.000)
K (0.500, 0.500, 0.000)
Sc (0.227, 0.000, 0.642)
Sc (0.486, 0.000, 0.477)
Sc (0.727, 0.500, 0.642)
Sc (0.986, 0.500, 0.477)
Al (0.253, 0.500, 0.320)
Al (0.753, 0.000, 0.320)

---

Record 2
KBaIn2Os: single point on PBEsol structure, meta-GGA SCAN.

Results
spin magnetization: 1.78 μB/cell
space-group type: No. 123
density: 5.60 Mg/m³
formation energy from the elements: 1.8154 eV/atom

Unit cell a=5.482 b=5.482 c=5.883 alpha=90.00 beta=90.00 gamma=90.00
Positions (direct):
K (0.000, 0.000, 0.000)
Ba (0.000, 0.000, 0.500)
In (0.000, 0.500, 0.000)
In (0.500, 0.000, 0.000)
Os (0.500, 0.500, 0.500)

---

Record 3
LiCdTc2: single point on PBEsol structure, meta-GGA SCAN.

Results
spin magnetization: 0.00 μB/cell
space-group type: No. 139
density: 8.91 Mg/m³
formation energy from the elements: 0.2837 eV/atom

Unit cell a=3.581 b=3.581 c=9.165 alpha=90.00 beta=90.00 gamma=90.00
Positions (direct):
Li (0.000, 0.000, 0.000)
Li (0.500, 0.500, 0.500)
Cd (0.000, 0.000, 0.500)
Cd (0.500, 0.500, 0.000)
Tc (0.000, 0.500, 0.250)
Tc (0.000, 0.500, 0.750)
Tc (0.500, 0.000, 0.250)
Tc (0.500, 0.000, 0.750)

---

Record 4
TaSe2Br: single point on PBEsol structure, meta-GGA SCAN.

Results
spin magnetization: 0.00 μB/cell
total DFT energy (no corrections): -32.2186 eV per atom
space-group type: No. 8
density: 6.41 Mg/m³

Unit cell a=12.340 b=3.147 c=6.596 alpha=90.00 beta=122.03 gamma=90.00
Positions (direct):
Ta (0.000, 0.000, 0.000)
Ta (0.500, 0.500, 0.000)
Se (0.007, 0.500, 0.706)
Se (0.339, 0.000, 0.001)
Se (0.507, 0.000, 0.706)
Se (0.839, 0.500, 0.001)
Br (0.170, 0.500, 0.324)
Br (0.670, 0.000, 0.324)

---

Record 5
KCu2Sb: single point on PBEsol structure, meta-GGA SCAN.

Results
spin magnetization: 0.00 μB/cell
total DFT energy (no corrections): -18.9944 eV per atom
space-group type: No. 6
density: 4.47 Mg/m³

Unit cell a=4.635 b=4.343 c=5.440 alpha=90.00 beta=102.38 gamma=90.00
Positions (direct):
K (0.000, 0.000, 0.000)
Cu (0.218, 0.500, 0.572)
Cu (0.454, 0.000, 0.523)
Sb (0.682, 0.500, 0.422)

---

Record 6
ZrMoPb3: single point on PBEsol structure, meta-GGA SCAN.

Results
spin magnetization: 2.24 μB/cell
space-group type: No. 221
density: 9.20 Mg/m³
formation energy from the elements: 0.8897 eV/atom

Unit cell a=5.265 b=5.265 c=5.265 alpha=90.00 beta=90.00 gamma=90.00
Positions (direct):
Zr (0.000, 0.000, 0.000)
Mo (0.500, 0.500, 0.500)
Pb (0.000, 0.500, 0.500)
Pb (0.500, 0.000, 0.500)
Pb (0.500, 0.500, 0.000)

---

Record 7
GdTmO3: single point on PBEsol structure, meta-GGA SCAN.

Results
spin magnetization: 27.87 μB/cell
total DFT energy (no corrections): -29.6943 eV per atom
space-group type: No. 62
density: 9.12 Mg/m³

Unit cell a=5.882 b=8.247 c=5.617 alpha=90.00 beta=90.00 gamma=90.00
Positions (direct):
Gd (0.056, 0.250, 0.021)
Gd (0.444, 0.750, 0.521)
Gd (0.556, 0.250, 0.479)
Gd (0.944, 0.750, 0.979)
Tm (0.000, 0.000, 0.500)
Tm (0.000, 0.500, 0.500)
Tm (0.500, 0.000, 0.000)
Tm (0.500, 0.500, 0.000)
O (0.071, 0.750, 0.357)
O (0.192, 0.576, 0.812)
O (0.192, 0.924, 0.812)
O (0.308, 0.076, 0.312)
O (0.308, 0.424, 0.312)
O (0.429, 0.250, 0.857)
O (0.571, 0.750, 0.143)
O (0.692, 0.576, 0.688)
O (0.692, 0.924, 0.688)
O (0.808, 0.076, 0.188)
O (0.808, 0.424, 0.188)
O (0.929, 0.250, 0.643)

---

Record 8
Ga3Te: single point on PBEsol structure, meta-GGA SCAN.

Results
spin magnetization: 0.00 μB/cell
total DFT energy (no corrections): -21.4004 eV per atom
space-group type: No. 139
density: 6.41 Mg/m³

Unit cell a=4.227 b=4.227 c=9.767 alpha=90.00 beta=90.00 gamma=90.00
Positions (direct):
Ga (0.000, 0.000, 0.000)
Ga (0.000, 0.500, 0.250)
Ga (0.000, 0.500, 0.750)
Ga (0.500, 0.000, 0.250)
Ga (0.500, 0.000, 0.750)
Ga (0.500, 0.500, 0.500)
Te (0.000, 0.000, 0.500)
Te (0.500, 0.500, 0.000)